1.
{"formula": "Cd2MoSe", "functional": "GGA-PBE", "state": "optimized geometry", "spacegroup": "I-4m2", "final_energy_ev_per_atom": -3.58, "lattice_angstrom": [[5.3224, 0.0009, 0.0000], [1.9341, 4.9585, 0.0000], [-3.6283, -2.4797, 3.0025]], "species": ["Cd", "Cd", "Mo", "Se"], "frac_coords": [[0.0000, 0.0000, 0.0000], [0.2500, 0.7500, 0.5000], [0.5000, 0.5000, 0.0000], [0.7500, 0.2500, 0.5000]]}

---

2.
{"formula": "Cd2MoSe", "functional": "GGA-PBE", "state": "optimized geometry", "spacegroup": "Fm-3m", "final_energy_ev_per_atom": -3.28, "lattice_angstrom": [[0.0000, 3.5109, 3.5109], [3.5109, 0.0000, 3.5109], [3.5109, 3.5109, 0.0000]], "species": ["Mo", "Se", "Cd", "Cd"], "frac_coords": [[0.5000, 0.5000, 0.5000], [0.0000, 0.0000, 0.0000], [0.2500, 0.2500, 0.2500], [0.7500, 0.7500, 0.7500]]}

---

3.
{"formula": "Cd3MoSe", "functional": "GGA-PBE", "state": "optimized geometry", "spacegroup": "Pm-3m", "final_energy_ev_per_atom": -2.29, "lattice_angstrom": [[5.3182, 0.0000, 0.0000], [0.0000, 5.3182, 0.0000], [0.0000, 0.0000, 5.3182]], "species": ["Mo", "Se", "Cd", "Cd", "Cd"], "frac_coords": [[0.5000, 0.5000, 0.5000], [0.0000, 0.0000, 0.0000], [0.0000, 0.5000, 0.0000], [0.0000, 0.0000, 0.5000], [0.5000, 0.0000, 0.0000]]}

---

4.
{"formula": "Cd2MoSe", "functional": "GGA-PBE", "state": "optimized geometry", "spacegroup": "Pm", "final_energy_ev_per_atom": -3.78, "lattice_angstrom": [[-1.0152, 4.2334, -0.3940], [-2.6310, -0.8024, -1.8425], [-4.4113, -0.7172, 3.6605]], "species": ["Cd", "Cd", "Mo", "Se"], "frac_coords": [[0.0000, 0.9460, 0.9857], [0.5000, 0.2974, 0.2775], [0.0000, 0.6823, 0.5090], [0.5000, 0.5743, 0.7279]]}

---

5.
{"formula": "Cd2MoSe", "functional": "GGA-PBE", "state": "optimized geometry", "spacegroup": "Imm2", "final_energy_ev_per_atom": -3.91, "lattice_angstrom": [[6.5008, 0.0441, -0.0008], [3.8652, 5.2271, 0.0008], [-4.6217, -3.7393, 2.6304]], "species": ["Cd", "Cd", "Mo", "Se"], "frac_coords": [[0.0166, 0.0166, 0.0000], [0.6906, 0.1906, 0.5000], [0.4774, 0.4774, 0.0000], [0.3154, 0.8154, 0.5000]]}

---

6.
{"formula": "Cd2MoSe", "functional": "GGA-PBE", "state": "optimized geometry", "spacegroup": "Pmmm", "final_energy_ev_per_atom": -3.57, "lattice_angstrom": [[3.4134, 0.0000, 0.0000], [0.0000, 4.6056, 0.0000], [0.0000, 0.0000, 5.0000]], "species": ["Cd", "Cd", "Mo", "Se"], "frac_coords": [[0.0000, 0.0000, 0.0000], [0.5000, 0.5000, 0.0000], [0.5000, 0.0000, 0.5000], [0.0000, 0.5000, 0.5000]]}

---

7.
{"formula": "CdSi2Mo", "functional": "GGA-PBE", "state": "optimized geometry", "spacegroup": "P4mm", "final_energy_ev_per_atom": -5.25, "lattice_angstrom": [[-1.0644, -0.9594, 2.4169], [2.4809, -1.1573, 0.6332], [2.3115, 7.0412, 3.8130]], "species": ["Cd", "Mo", "Si", "Si"], "frac_coords": [[0.0000, 0.0000, 0.5046], [0.5000, 0.5000, 0.7828], [0.0000, 0.0000, 0.9951], [0.5000, 0.5000, 0.2176]]}

---

8.
{"formula": "CdSi2Mo", "functional": "GGA-PBE", "state": "optimized geometry", "spacegroup": "Imm2", "final_energy_ev_per_atom": -5.46, "lattice_angstrom": [[6.9226, 0.5295, 0.7330], [6.1924, 3.1397, 0.7330], [0.8436, 0.2360, 4.1517]], "species": ["Cd", "Mo", "Si", "Si"], "frac_coords": [[0.5541, 0.5541, 0.4454], [0.2647, 0.2647, 0.2357], [0.9358, 0.9358, 0.0638], [0.7453, 0.7453, 0.7551]]}

---

9.
{"formula": "CdSi2Mo", "functional": "GGA-PBE", "state": "optimized geometry", "spacegroup": "Cmm2", "final_energy_ev_per_atom": -5.29, "lattice_angstrom": [[2.8262, 0.0103, 0.0000], [-0.6885, 2.7411, 0.0000], [0.0000, 0.0000, 8.5340]], "species": ["Cd", "Mo", "Si", "Si"], "frac_coords": [[0.0000, 0.0000, 0.5046], [0.5000, 0.5000, 0.7826], [0.0000, 0.0000, 0.9959], [0.5000, 0.5000, 0.2169]]}

---

10.
{"formula": "CdSiMo4", "functional": "GGA-PBE", "state": "optimized geometry", "spacegroup": "F-43m", "final_energy_ev_per_atom": -7.69, "lattice_angstrom": [[-0.9861, -4.1732, 3.0686], [-4.1714, 0.0261, 3.2254], [-4.1402, -3.1023, -1.0191]], "species": ["Cd", "Si", "Mo", "Mo", "Mo", "Mo"], "frac_coords": [[0.0000, 0.0000, 0.0000], [0.2500, 0.2500, 0.2500], [0.6258, 0.6258, 0.1226], [0.6258, 0.1226, 0.6258], [0.6258, 0.6258, 0.6258], [0.1226, 0.6258, 0.6258]]}

---

11.
{"formula": "CdSi2Mo", "functional": "GGA-PBE", "state": "optimized geometry", "spacegroup": "I-42d", "final_energy_ev_per_atom": -4.83, "lattice_angstrom": [[6.1660, 0.0000, 0.0000], [0.0000, 6.1660, 0.0000], [3.0830, 3.0830, 5.1382]], "species": ["Mo", "Mo", "Si", "Si", "Si", "Si", "Cd", "Cd"], "frac_coords": [[0.5000, 0.5000, 0.0000], [0.2500, 0.7500, 0.5000], [0.5863, 0.1250, 0.2500], [0.1637, 0.6250, 0.2500], [0.3750, 0.4137, 0.7500], [0.8750, 0.8363, 0.7500], [0.0000, 0.0000, 0.0000], [0.7500, 0.2500, 0.5000]]}

---

12.
{"formula": "CdSi2Mo", "functional": "GGA-PBE", "state": "optimized geometry", "spacegroup": "R3m", "final_energy_ev_per_atom": -5.25, "lattice_angstrom": [[9.9019, 0.0026, 0.0015], [9.4872, 2.8356, 0.0015], [9.4872, 1.3887, 2.4722]], "species": ["Cd", "Mo", "Si", "Si"], "frac_coords": [[0.4928, 0.4928, 0.4928], [0.7380, 0.7380, 0.7380], [0.0020, 0.0020, 0.0020], [0.2672, 0.2672, 0.2672]]}

---

13.
{"formula": "CdSiMo", "functional": "GGA-PBE", "state": "optimized geometry", "spacegroup": "P1", "final_energy_ev_per_atom": -5.52, "lattice_angstrom": [[3.2420, 0.0003, -0.0037], [-0.0067, 3.2868, -0.0001], [-1.2983, -1.6060, 4.9935]], "species": ["Mo", "Si", "Cd"], "frac_coords": [[0.7768, 0.6908, 0.9907], [0.2089, 0.1036, 0.8118], [0.4450, 0.3874, 0.3906]]}

---

14.
{"formula": "CdSi2Mo", "functional": "GGA-PBE", "state": "optimized geometry", "spacegroup": "R-3m", "final_energy_ev_per_atom": -5.52, "lattice_angstrom": [[-1.9399, 7.1514, 4.3921], [-4.7516, 6.0996, 3.7966], [-3.2000, 5.0374, 6.2114]], "species": ["Cd", "Mo", "Si", "Si"], "frac_coords": [[0.2500, 0.2500, 0.2500], [0.7500, 0.7500, 0.7500], [0.0113, 0.0113, 0.0113], [0.4887, 0.4887, 0.4887]]}

---

15.
{"formula": "CdSiMo3", "functional": "GGA-PBE", "state": "optimized geometry", "spacegroup": "Pm-3m", "final_energy_ev_per_atom": -6.82, "lattice_angstrom": [[-0.1736, -4.4868, -0.6931], [2.1566, 0.5289, -3.9638], [3.9951, -0.4804, 2.1095]], "species": ["Mo", "Mo", "Mo", "Si", "Cd"], "frac_coords": [[0.0000, 0.5000, 0.0000], [0.0000, 0.0000, 0.5000], [0.5000, 0.0000, 0.0000], [0.0000, 0.0000, 0.0000], [0.5000, 0.5000, 0.5000]]}

---

16.
{"formula": "CdSi2Mo", "functional": "GGA-PBE", "state": "optimized geometry", "spacegroup": "P2/m", "final_energy_ev_per_atom": -5.29, "lattice_angstrom": [[-1.7366, 1.0730, 2.0378], [2.6688, -2.6652, 3.6776], [4.3833, 1.5314, 2.9291]], "species": ["Cd", "Mo", "Si", "Si"], "frac_coords": [[0.5000, 0.5000, 0.5000], [0.0000, 0.0000, 0.5000], [0.0000, 0.0000, 0.0000], [0.5000, 0.5000, 0.0000]]}

---

17.
{"formula": "Cd3SiMo", "functional": "GGA-PBE", "state": "optimized geometry", "spacegroup": "Pm-3m", "final_energy_ev_per_atom": -2.40, "lattice_angstrom": [[5.2410, 0.0000, 0.0000], [0.0000, 5.2410, 0.0000], [0.0000, 0.0000, 5.2410]], "species": ["Mo", "Si", "Cd", "Cd", "Cd"], "frac_coords": [[0.0000, 0.0000, 0.0000], [0.5000, 0.5000, 0.5000], [0.0000, 0.5000, 0.0000], [0.0000, 0.0000, 0.5000], [0.5000, 0.0000, 0.0000]]}

---

18.
{"formula": "CdSiMo", "functional": "GGA-PBE", "state": "optimized geometry", "spacegroup": "Amm2", "final_energy_ev_per_atom": -5.51, "lattice_angstrom": [[-1.0442, 2.0325, -2.7860], [1.5146, -1.8416, -1.9113], [-3.4633, -3.7625, 0.8807]], "species": ["Mo", "Si", "Cd"], "frac_coords": [[0.2836, 0.5000, 0.9720], [0.7109, 0.0000, 0.8263], [0.9953, 0.0000, 0.3948]]}

---

19.
{"formula": "CdSi2Mo2", "functional": "GGA-PBE", "state": "optimized geometry", "spacegroup": "P4/mbm", "final_energy_ev_per_atom": -6.75, "lattice_angstrom": [[-4.1824, 5.3229, 1.1461], [-3.9850, -2.0077, -5.2180], [-1.7603, -1.8237, 2.0460]], "species": ["Mo", "Mo", "Mo", "Mo", "Si", "Si", "Si", "Si", "Cd", "Cd"], "frac_coords": [[0.1604, 0.6604, 0.5000], [0.6604, 0.8396, 0.5000], [0.8396, 0.3396, 0.5000], [0.3396, 0.1604, 0.5000], [0.3704, 0.8704, 0.0000], [0.8704, 0.6296, 0.0000], [0.6296, 0.1296, 0.0000], [0.1296, 0.3704, 0.0000], [0.0000, 0.0000, 0.0000], [0.5000, 0.5000, 0.0000]]}

---

20.
{"formula": "CdSi2Mo", "functional": "GGA-PBE", "state": "optimized geometry", "spacegroup": "P2/m", "final_energy_ev_per_atom": -5.54, "lattice_angstrom": [[-0.5718, 2.9267, 0.5993], [-2.1549, -0.8972, 2.3254], [3.9527, -0.4597, 6.0161]], "species": ["Cd", "Mo", "Si", "Si"], "frac_coords": [[0.5000, 0.2500, 0.2500], [0.5000, 0.7500, 0.7500], [0.0000, 0.1458, 0.9356], [0.0000, 0.3542, 0.5644]]}

---

Record-wise DOS(E_F) values, in states/eV per atom: 0.66 0.68 0.59 0.60 0.35 0.88 0.48 0.99 0.38 0.87 0.43 0.84 0.14 0.45 1.34 0.55 0.57 0.45 0.12 0.54
Record-wise ΔE_f (raw) values, in eV per formula unit: 1.84 3.02 5.61 1.02 0.52 1.85 1.61 0.74 1.44 3.50 3.28 1.58 0.61 0.51 4.75 1.43 6.98 0.63 -0.35 0.44